Computed, not measured: crystalline YB3H12 at its relaxed geometry at the PBEsol level of DFT.

Cell: 10.612 10.612 10.612 Å, 90.00 90.00 90.00°
Element x y z (fractional)
1 Y 0.215 0.215 0.215
2 Y 0.215 0.285 0.715
3 Y 0.285 0.715 0.215
4 Y 0.285 0.785 0.715
5 Y 0.715 0.215 0.285
6 Y 0.715 0.285 0.785
7 Y 0.785 0.715 0.285
8 Y 0.785 0.785 0.785
9 B 0.035 0.688 0.254
10 B 0.035 0.812 0.754
11 B 0.188 0.246 0.965
12 B 0.188 0.254 0.465
13 B 0.246 0.535 0.688
14 B 0.246 0.965 0.188
15 B 0.254 0.035 0.688
16 B 0.254 0.465 0.188
17 B 0.312 0.746 0.965
18 B 0.312 0.754 0.465
19 B 0.465 0.188 0.254
20 B 0.465 0.312 0.754
21 B 0.535 0.688 0.246
22 B 0.535 0.812 0.746
23 B 0.688 0.246 0.535
24 B 0.688 0.254 0.035
25 B 0.746 0.535 0.812
26 B 0.746 0.965 0.312
27 B 0.754 0.035 0.812
28 B 0.754 0.465 0.312
29 B 0.812 0.746 0.535
30 B 0.812 0.754 0.035
31 B 0.965 0.188 0.246
32 B 0.965 0.312 0.746
33 H 0.021 0.210 0.750
34 H 0.021 0.290 0.250
35 H 0.034 0.097 0.225
36 H 0.034 0.403 0.725
37 H 0.083 0.671 0.149
38 H 0.083 0.829 0.649
39 H 0.097 0.225 0.034
40 H 0.097 0.275 0.534
41 H 0.112 0.694 0.340
42 H 0.112 0.806 0.840
43 H 0.149 0.083 0.671
44 H 0.149 0.417 0.171
45 H 0.160 0.612 0.694
46 H 0.160 0.888 0.194
47 H 0.171 0.149 0.417
48 H 0.171 0.351 0.917
49 H 0.194 0.160 0.888
50 H 0.194 0.340 0.388
51 H 0.210 0.750 0.021
52 H 0.210 0.750 0.521
53 H 0.225 0.034 0.097
54 H 0.225 0.466 0.597
55 H 0.250 0.021 0.290
56 H 0.250 0.479 0.790
57 H 0.250 0.521 0.290
58 H 0.250 0.979 0.790
59 H 0.275 0.534 0.097
60 H 0.275 0.966 0.597
61 H 0.290 0.250 0.021
62 H 0.290 0.250 0.521
63 H 0.306 0.660 0.888
64 H 0.306 0.840 0.388
65 H 0.329 0.649 0.417
66 H 0.329 0.851 0.917
67 H 0.340 0.112 0.694
68 H 0.340 0.388 0.194
69 H 0.351 0.583 0.671
70 H 0.351 0.917 0.171
71 H 0.388 0.194 0.340
72 H 0.388 0.306 0.840
73 H 0.403 0.725 0.034
74 H 0.403 0.775 0.534
75 H 0.417 0.171 0.149
76 H 0.417 0.329 0.649
77 H 0.466 0.597 0.225
78 H 0.466 0.903 0.725
79 H 0.479 0.710 0.750
80 H 0.479 0.790 0.250
81 H 0.521 0.210 0.750
82 H 0.521 0.290 0.250
83 H 0.534 0.097 0.275
84 H 0.534 0.403 0.775
85 H 0.583 0.671 0.351
86 H 0.583 0.829 0.851
87 H 0.597 0.225 0.466
88 H 0.597 0.275 0.966
89 H 0.612 0.694 0.160
90 H 0.612 0.806 0.660
91 H 0.649 0.083 0.829
92 H 0.649 0.417 0.329
93 H 0.660 0.612 0.806
94 H 0.660 0.888 0.306
95 H 0.671 0.149 0.083
96 H 0.671 0.351 0.583
97 H 0.694 0.160 0.612
98 H 0.694 0.340 0.112
99 H 0.710 0.750 0.479
100 H 0.710 0.750 0.979
101 H 0.725 0.034 0.403
102 H 0.725 0.466 0.903
103 H 0.750 0.021 0.210
104 H 0.750 0.479 0.710
105 H 0.750 0.521 0.210
106 H 0.750 0.979 0.710
107 H 0.775 0.534 0.403
108 H 0.775 0.966 0.903
109 H 0.790 0.250 0.479
110 H 0.790 0.250 0.979
111 H 0.806 0.660 0.612
112 H 0.806 0.840 0.112
113 H 0.829 0.649 0.083
114 H 0.829 0.851 0.583
115 H 0.840 0.112 0.806
116 H 0.840 0.388 0.306
117 H 0.851 0.583 0.829
118 H 0.851 0.917 0.329
119 H 0.888 0.194 0.160
120 H 0.888 0.306 0.660
121 H 0.903 0.725 0.466
122 H 0.903 0.775 0.966
123 H 0.917 0.171 0.351
124 H 0.917 0.329 0.851
125 H 0.966 0.597 0.275
126 H 0.966 0.903 0.775
127 H 0.979 0.710 0.750
128 H 0.979 0.790 0.250

Results
* E: -4.4976 eV/atom

***

Computed, not measured: crystalline YBH2 at its relaxed geometry at the PBEsol level of DFT.

Cell: 3.828 3.828 9.913 Å, 90.00 90.00 90.00°
Element x y z (fractional)
1 Y 0.000 0.250 0.375
2 Y 0.000 0.750 0.625
3 Y 0.500 0.250 0.125
4 Y 0.500 0.750 0.875
5 B 0.000 0.250 0.875
6 B 0.000 0.750 0.125
7 B 0.500 0.250 0.625
8 B 0.500 0.750 0.375
9 H 0.000 0.000 0.000
10 H 0.000 0.500 0.000
11 H 0.250 0.250 0.750
12 H 0.250 0.750 0.250
13 H 0.500 0.000 0.500
14 H 0.500 0.500 0.500
15 H 0.750 0.250 0.750
16 H 0.750 0.750 0.250

Results
* E: -5.0360 eV/atom

***

Computed, not measured: crystalline ZnB2H8 at its relaxed geometry at the PBEsol level of DFT.

Cell: 7.690 7.690 7.690 Å, 129.01 129.01 74.99°
Element x y z (fractional)
1 Zn 0.000 0.000 0.000
2 Zn 0.750 0.250 0.500
3 B 0.375 0.057 0.182
4 B 0.807 0.125 0.182
5 B 0.875 0.193 0.818
6 B 0.943 0.625 0.818
7 H 0.004 0.216 0.310
8 H 0.032 0.312 0.075
9 H 0.042 0.762 0.075
10 H 0.062 0.488 0.780
11 H 0.238 0.958 0.925
12 H 0.306 0.094 0.310
13 H 0.444 0.254 0.288
14 H 0.512 0.938 0.220
15 H 0.688 0.968 0.925
16 H 0.708 0.282 0.220
17 H 0.718 0.292 0.780
18 H 0.746 0.556 0.712
19 H 0.784 0.996 0.690
20 H 0.844 0.034 0.288
21 H 0.906 0.694 0.690
22 H 0.966 0.156 0.712

Results
* energy relative to the lowest polymorph listed for this composition: 0 meV per atom

***

Computed, not measured: crystalline ZnB2H8 at its relaxed geometry at the PBEsol level of DFT.

Cell: 4.142 5.068 8.004 Å, 90.00 90.00 90.00°
Element x y z (fractional)
1 Zn 0.000 0.213 0.000
2 Zn 0.000 0.787 0.500
3 B 0.000 0.037 0.739
4 B 0.000 0.963 0.239
5 B 0.500 0.428 0.963
6 B 0.500 0.572 0.463
7 H 0.000 0.095 0.371
8 H 0.000 0.278 0.749
9 H 0.000 0.722 0.249
10 H 0.000 0.905 0.871
11 H 0.256 0.018 0.170
12 H 0.256 0.982 0.670
13 H 0.276 0.483 0.062
14 H 0.276 0.517 0.562
15 H 0.500 0.195 0.919
16 H 0.500 0.428 0.343
17 H 0.500 0.572 0.843
18 H 0.500 0.805 0.419
19 H 0.724 0.483 0.062
20 H 0.724 0.517 0.562
21 H 0.744 0.018 0.170
22 H 0.744 0.982 0.670

Results
* energy relative to the lowest polymorph listed for this composition: 16 meV per atom

***

Computed, not measured: crystalline ZnB3H at its relaxed geometry at the PBEsol level of DFT.

Cell: 3.321 3.321 3.321 Å, 90.00 90.00 90.00°
Element x y z (fractional)
1 Zn 0.000 0.000 0.000
2 B 0.000 0.500 0.500
3 B 0.500 0.000 0.500
4 B 0.500 0.500 0.000
5 H 0.500 0.500 0.500

Results
* E: -3.6602 eV/atom

***

Computed, not measured: crystalline HfB2 at its relaxed geometry at the PBEsol level of DFT.

Cell: 3.129 3.129 3.444 Å, 90.00 90.00 120.00°
Element x y z (fractional)
1 Hf 0.000 0.000 0.000
2 B 0.333 0.667 0.500
3 B 0.667 0.333 0.500

Results
* energy relative to the elements: -1.1099 eV/atom

***

Computed, not measured: crystalline HfB12 at its relaxed geometry at the PBEsol level of DFT.

Cell: 5.197 5.197 5.197 Å, 60.00 60.00 60.00°
Element x y z (fractional)
1 Hf 0.000 0.000 0.000
2 B 0.161 0.500 0.500
3 B 0.161 0.500 0.839
4 B 0.161 0.839 0.500
5 B 0.500 0.161 0.500
6 B 0.500 0.161 0.839
7 B 0.500 0.500 0.161
8 B 0.500 0.500 0.839
9 B 0.500 0.839 0.161
10 B 0.500 0.839 0.500
11 B 0.839 0.161 0.500
12 B 0.839 0.500 0.161
13 B 0.839 0.500 0.500

Results
* energy relative to the elements: -0.2209 eV/atom

***

Computed, not measured: crystalline HfHgB3 at its relaxed geometry at the PBEsol level of DFT.

Cell: 4.417 4.417 4.417 Å, 90.00 90.00 90.00°
Element x y z (fractional)
1 Hf 0.000 0.000 0.000
2 Hg 0.500 0.500 0.500
3 B 0.000 0.000 0.500
4 B 0.000 0.500 0.000
5 B 0.500 0.000 0.000

Results
* energy relative to the elements: 1.7990 eV/atom

***

Computed, not measured: crystalline HfHg2BRu at its relaxed geometry at the PBEsol level of DFT.

Cell: 5.429 5.429 4.585 Å, 90.00 90.00 90.00°
Element x y z (fractional)
1 Hf 0.000 0.000 0.000
2 Hg 0.000 0.500 0.000
3 Hg 0.500 0.000 0.000
4 B 0.500 0.500 0.500
5 Ru 0.000 0.000 0.500

Results
* energy relative to the elements: 1.9326 eV/atom

***

Computed, not measured: crystalline HfB2PbI at its relaxed geometry at the PBEsol level of DFT.

Cell: 4.578 4.578 6.000 Å, 90.00 90.00 90.00°
Element x y z (fractional)
1 Hf 0.000 0.000 0.000
2 B 0.000 0.500 0.000
3 B 0.500 0.000 0.000
4 Pb 0.000 0.000 0.500
5 I 0.500 0.500 0.500

Results
* raw formation energy: 1.37 eV/atom

***

Computed, not measured: crystalline Hf2InB at its relaxed geometry at the PBEsol level of DFT.

Cell: 7.017 7.017 5.977 Å, 90.00 90.00 90.00°
Element x y z (fractional)
1 Hf 0.188 0.250 0.125
2 Hf 0.250 0.688 0.375
3 Hf 0.250 0.812 0.875
4 Hf 0.312 0.250 0.625
5 Hf 0.688 0.750 0.625
6 Hf 0.750 0.188 0.875
7 Hf 0.750 0.312 0.375
8 Hf 0.812 0.750 0.125
9 In 0.000 0.000 0.500
10 In 0.000 0.500 0.750
11 In 0.500 0.000 0.250
12 In 0.500 0.500 0.000
13 B 0.000 0.000 0.000
14 B 0.000 0.500 0.250
15 B 0.500 0.000 0.750
16 B 0.500 0.500 0.500

Results
* energy relative to the elements: 0.1058 eV/atom

***

Computed, not measured: crystalline HfInB2 at its relaxed geometry at the PBEsol level of DFT.

Cell: 6.233 6.233 6.014 Å, 90.00 90.00 90.00°
Element x y z (fractional)
1 Hf 0.000 0.000 0.000
2 Hf 0.000 0.500 0.250
3 Hf 0.500 0.000 0.750
4 Hf 0.500 0.500 0.500
5 In 0.000 0.000 0.500
6 In 0.000 0.500 0.750
7 In 0.500 0.000 0.250
8 In 0.500 0.500 0.000
9 B 0.242 0.250 0.625
10 B 0.250 0.742 0.875
11 B 0.250 0.758 0.375
12 B 0.258 0.250 0.125
13 B 0.742 0.750 0.125
14 B 0.750 0.242 0.375
15 B 0.750 0.258 0.875
16 B 0.758 0.750 0.625

Results
* energy relative to the elements: 0.6085 eV/atom

***

Computed, not measured: crystalline HfInBPb2 at its relaxed geometry at the PBEsol level of DFT.

Cell: 5.472 5.472 5.419 Å, 90.00 90.00 90.00°
Element x y z (fractional)
1 Hf 0.000 0.000 0.000
2 In 0.000 0.000 0.500
3 B 0.500 0.500 0.000
4 Pb 0.000 0.500 0.500
5 Pb 0.500 0.000 0.500

Results
* energy relative to the elements: 1.9290 eV/atom

***

Computed, not measured: crystalline Hf2B2Ir at its relaxed geometry at the PBEsol level of DFT.

Cell: 5.938 5.938 3.571 Å, 90.00 90.00 90.00°
Element x y z (fractional)
1 Hf 0.178 0.322 0.000
2 Hf 0.322 0.822 0.000
3 Hf 0.678 0.178 0.000
4 Hf 0.822 0.678 0.000
5 B 0.112 0.612 0.500
6 B 0.388 0.112 0.500
7 B 0.612 0.888 0.500
8 B 0.888 0.388 0.500
9 Ir 0.000 0.000 0.500
10 Ir 0.500 0.500 0.500

Results
* energy relative to the elements: -0.9870 eV/atom

***

Computed, not measured: crystalline Hf3B2Ir5 at its relaxed geometry at the PBEsol level of DFT.

Cell: 9.190 9.190 3.355 Å, 90.00 90.00 90.00°
Element x y z (fractional)
1 Hf 0.000 0.000 0.000
2 Hf 0.176 0.324 0.000
3 Hf 0.324 0.824 0.000
4 Hf 0.500 0.500 0.000
5 Hf 0.676 0.176 0.000
6 Hf 0.824 0.676 0.000
7 B 0.120 0.620 0.000
8 B 0.380 0.120 0.000
9 B 0.620 0.880 0.000
10 B 0.880 0.380 0.000
11 Ir 0.000 0.500 0.500
12 Ir 0.072 0.780 0.500
13 Ir 0.220 0.072 0.500
14 Ir 0.280 0.572 0.500
15 Ir 0.428 0.280 0.500
16 Ir 0.500 0.000 0.500
17 Ir 0.572 0.720 0.500
18 Ir 0.720 0.428 0.500
19 Ir 0.780 0.928 0.500
20 Ir 0.928 0.220 0.500

Results
* energy relative to the elements: -0.8549 eV/atom

***

Computed, not measured: crystalline KHf3B at its relaxed geometry at the PBEsol level of DFT.

Cell: 4.639 4.639 4.639 Å, 90.00 90.00 90.00°
Element x y z (fractional)
1 K 0.000 0.000 0.000
2 Hf 0.000 0.000 0.500
3 Hf 0.000 0.500 0.000
4 Hf 0.500 0.000 0.000
5 B 0.500 0.500 0.500

Results
* energy relative to the elements: 2.8875 eV/atom

***

Computed, not measured: crystalline LaHfB2P at its relaxed geometry at the PBEsol level of DFT.

Cell: 4.217 4.217 4.711 Å, 90.00 90.00 90.00°
Element x y z (fractional)
1 La 0.000 0.000 0.000
2 Hf 0.500 0.500 0.000
3 B 0.000 0.500 0.500
4 B 0.500 0.000 0.500
5 P 0.500 0.500 0.500

Results
* energy relative to the elements: 0.7961 eV/atom

***

Computed, not measured: crystalline LaHfBPd2 at its relaxed geometry at the PBEsol level of DFT.

Cell: 4.336 4.336 4.599 Å, 90.00 90.00 90.00°
Element x y z (fractional)
1 La 0.000 0.000 0.000
2 Hf 0.500 0.500 0.000
3 B 0.500 0.500 0.500
4 Pd 0.000 0.500 0.500
5 Pd 0.500 0.000 0.500

Results
* energy relative to the elements: -0.2790 eV/atom